## BeAs2SeS (PBE)

Data for BeAs2SeS after structural relaxation.

abc: 4.6690 4.6690 4.2434
angles: 90.00 90.00 90.00
With the nearest neighbours (Å) after each atom.
Space group P4/mmm (No. 123)
One atom of each set of equivalent atoms:
Be1 0.0000 0.0000 0.0000 [1 per cell]  2 Se 2.12, 4 As 2.33
As1 0.0000 0.5000 0.0000 [2 per cell]  2 Be 2.33
Se1 0.0000 0.0000 0.5000 [1 per cell]  2 Be 2.12
S1 0.5000 0.5000 0.5000 [1 per cell]  8 As 3.15, 4 Se 3.30

Properties
Calculated volume: 18.50 A^3/atom
Crystal system: tetragonal
Total DFT energy (no corrections): -3.501 eV/atom
Energy relative to the lowest polymorph listed for this composition: 0 meV/atom
Formation energy (no corrections): 0.63 eV/atom